LiBe2Pd6: relaxed, PBE-GGA.

Values from the calculation:
The space-group type is Fmmm (69). The total energy comes out at -4.928 eV per atom. The crystal system is orthorhombic. For the formation energy from the elements, the calculation gives -3.83 eV/f.u.

Cell lengths 3.9819, 5.3257, 6.2674 Å; angles 83.17, 71.48, 68.05 degrees
With the nearest neighbours (Å) after each atom.
Atoms (fractional coordinates):
Li 0.0000 0.5000 0.5000  8 Pd 2.47
Be 0.3361 0.5000 0.8278  8 Pd 2.44-2.45
Be 0.6639 0.5000 0.1722  8 Pd 2.44-2.45
Pd 0.6855 0.7891 0.8399  3 Be 2.44-2.45, 1 Li 2.47
Pd 0.3145 0.2109 0.1601  3 Be 2.44-2.45, 1 Li 2.47
Pd 0.0252 0.7893 0.1602  3 Be 2.44-2.45, 1 Li 2.47
Pd 0.3512 0.7975 0.5001  2 Be 2.44, 2 Li 2.47
Pd 0.9748 0.2107 0.8398  3 Be 2.44-2.45, 1 Li 2.47
Pd 0.6488 0.2025 0.4999  2 Be 2.44, 2 Li 2.47


Sb2RhF: relaxed, PBE-GGA.

Values from the calculation:
The formation energy from raw total energies is -493 meV per atom. The space-group type is I-42d (122). The total energy comes out at -4.860 eV per atom. The crystal system is tetragonal.

Cell lengths 5.3147, 5.3147, 7.7803 Å; angles 70.03, 70.03, 90.00 degrees
With the nearest neighbours (Å) after each atom.
Atoms (fractional coordinates):
Sb 0.6288 0.1250 0.2500  2 Rh 2.53, 2 F 2.55
Sb 0.1212 0.6250 0.2500  2 Rh 2.53, 2 F 2.55
Sb 0.3750 0.3712 0.7500  2 Rh 2.53, 2 F 2.55
Sb 0.8750 0.8788 0.7500  2 Rh 2.53, 2 F 2.55
Rh 0.0000 0.0000 0.0000  4 Sb 2.53
Rh 0.7500 0.2500 0.5000  4 Sb 2.53
F 0.5000 0.5000 0.0000  4 Sb 2.55
F 0.2500 0.7500 0.5000  4 Sb 2.55


Rb2SrTlSb2: relaxed, PBE-GGA.

Values from the calculation:
The formation energy from raw total energies is -505 meV per atom. The space-group type is Pmc2_1 (26). The total energy comes out at -2.876 eV per atom. The crystal system is orthorhombic.

Cell lengths 5.6404, 8.2847, 9.9931 Å; angles 90.00, 90.00, 90.00 degrees
With the nearest neighbours (Å) after each atom.
Atoms (fractional coordinates):
Rb 0.5000 0.0088 0.0821  1 Tl 3.70, 3 Sb 3.78, 4 Rb 3.91-3.98
Rb 0.0000 0.3247 0.1543  4 Sb 3.58-3.75, 4 Rb 3.91-3.98, 1 Sr 3.99
Rb 0.5000 0.5088 0.9179  1 Tl 3.70, 3 Sb 3.78, 4 Rb 3.91-3.98
Rb 0.0000 0.8247 0.8457  4 Sb 3.58-3.75, 4 Rb 3.91-3.98, 1 Sr 3.99
Sr 0.0000 0.0139 0.4781  6 Sb 3.41-3.72, 2 Tl 3.70
Sr 0.0000 0.5139 0.5219  6 Sb 3.41-3.72, 2 Tl 3.70
Tl 0.5000 0.1631 0.6836  4 Sb 3.08-3.21
Tl 0.5000 0.6631 0.3164  4 Sb 3.08-3.21
Sb 0.0000 0.2510 0.7842  2 Tl 3.08, 1 Sr 3.41
Sb 0.5000 0.2841 0.3839  2 Tl 3.16-3.21
Sb 0.0000 0.7510 0.2158  2 Tl 3.08, 1 Sr 3.41
Sb 0.5000 0.7841 0.6161  2 Tl 3.16-3.21


CdPdNF2: relaxed, PBE-GGA.

Values from the calculation:
The formation energy from raw total energies is -257 meV per atom. The space-group type is P4/mmm (123). As for the offset from the most stable computed form: 0 meV/atom. The total energy comes out at -3.892 eV per atom. The crystal system is tetragonal.

Cell lengths 4.4518, 4.4518, 3.7586 Å; angles 90.00, 90.00, 90.00 degrees
With the nearest neighbours (Å) after each atom.
Atoms (fractional coordinates):
N 0.0000 0.0000 0.5000  2 Pd 1.88
F 0.0000 0.5000 0.0000  2 Pd 2.23
F 0.5000 0.0000 0.0000  2 Pd 2.23
Pd 0.0000 0.0000 0.0000  2 N 1.88
Cd 0.5000 0.5000 0.5000  8 F 2.91, 4 N 3.15


TbDyTm2: relaxed, PBE-GGA.

Values from the calculation:
The space-group type is R-3m (166). As for the offset from the most stable computed form: 19 meV/atom. The total energy comes out at -4.521 eV per atom. The crystal system is trigonal. For the formation energy from the elements, the calculation gives 0.09 eV/f.u.

Cell lengths 3.5150, 3.5150, 11.6095 Å; angles 81.29, 81.29, 60.00 degrees
With the nearest neighbours (Å) after each atom.
Atoms (fractional coordinates):
Tm 0.7498 0.7498 0.7505  3 Dy 3.50, 3 Tb 3.51, 6 Tm 3.51
Tm 0.2502 0.2502 0.2495  3 Dy 3.50, 3 Tb 3.51, 6 Tm 3.51
Tb 0.5000 0.5000 0.5000  6 Tm 3.51, 6 Tb 3.51
Dy 0.0000 0.0000 0.0000  6 Tm 3.50, 6 Dy 3.51


Co2IrPb: relaxed, PBE-GGA.

Values from the calculation:
The space-group type is I-42d (122). The total energy comes out at -5.997 eV per atom. The crystal system is tetragonal. For the formation energy from the elements, the calculation gives 2.79 eV/f.u.

Cell lengths 3.9326, 3.9326, 9.4338 Å; angles 77.97, 77.97, 90.00 degrees
With the nearest neighbours (Å) after each atom.
Atoms (fractional coordinates):
Pb 0.0000 0.0000 0.0000  4 Ir 2.78, 4 Co 2.80
Pb 0.7500 0.2500 0.5000  4 Ir 2.78, 4 Co 2.80
Ir 0.5000 0.5000 0.0000  4 Co 2.54, 4 Pb 2.78
Ir 0.2500 0.7500 0.5000  4 Co 2.54, 4 Pb 2.78
Co 0.5341 0.1250 0.2500  2 Co 2.33, 2 Ir 2.54
Co 0.2159 0.6250 0.2500  2 Co 2.33, 2 Ir 2.54
Co 0.3750 0.4659 0.7500  2 Co 2.33, 2 Ir 2.54
Co 0.8750 0.7841 0.7500  2 Co 2.33, 2 Ir 2.54